1.
# HfThH

HfThH after structural relaxation (PBE, Alexandria via LeMat-Bulk).

Cell lengths 3.3517, 3.3517, 5.7194 Å; angles 90.00, 90.00, 120.00 degrees
Fractional positions:
Th 0.0000 0.0000 0.9464
H 0.3333 0.6667 0.6165
Hf 0.6667 0.3333 0.4371

- final energy (Ry per atom) = -0.514
- D(E_F) (states/eV/f.u.) = 2.8

2.
# Zr2Zn5Au

Zr2Zn5Au after structural relaxation (PBE, Alexandria via LeMat-Bulk).

Cell lengths 3.9585, 8.1414, 8.9228 Å; angles 90.00, 90.00, 104.07 degrees
Fractional positions:
Zn 0.3600 0.7201 0.9742
Zn 0.6400 0.2799 0.4742
Zn 0.3801 0.7602 0.2500
Zn 0.2010 0.4020 0.8978
Zn 0.7990 0.5980 0.3978
Zn 0.7990 0.5980 0.1022
Zn 0.2010 0.4020 0.6022
Zn 0.6400 0.2799 0.0258
Zn 0.3600 0.7201 0.5258
Zn 0.6199 0.2398 0.7500
Au 0.4606 0.9212 0.7500
Au 0.5394 0.0788 0.2500
Zr 0.0000 0.0000 0.0000
Zr 0.0000 0.0000 0.5000
Zr 0.1870 0.3741 0.2500
Zr 0.8129 0.6259 0.7500

- final energy (Ry per atom) = -0.262
- E_form (meV/atom) = -227
- D(E_F) (states/eV/f.u.) = 6.5

3.
# CeCdAs2Pd5

CeCdAs2Pd5 after structural relaxation (PBE, Alexandria via LeMat-Bulk).

Cell lengths 4.6674, 4.6674, 7.8318 Å; angles 90.00, 90.00, 90.00 degrees
Fractional positions:
Pd 0.0000 0.5000 0.7350
Pd 0.5000 0.5000 0.5000
Pd 0.5000 0.0000 0.7350
Pd 0.5000 0.0000 0.2650
Pd 0.0000 0.5000 0.2650
As 0.5000 0.5000 0.8367
As 0.5000 0.5000 0.1633
Ce 0.0000 0.0000 0.5000
Cd 0.0000 0.0000 0.0000

- final energy (Ry per atom) = -0.379
- E_form (meV/atom) = -479
- D(E_F) (states/eV/f.u.) = 7.7

4.
# InSnRuRh

InSnRuRh after structural relaxation (PBE, Alexandria via LeMat-Bulk).

Cell lengths 3.2623, 4.5389, 4.5869 Å; angles 90.00, 90.00, 90.00 degrees
Fractional positions:
Rh 0.0000 0.5000 0.5000
In 0.5000 0.0000 0.5000
Ru 0.0000 0.0000 0.0000
Sn 0.5000 0.5000 0.0000

- final energy (Ry per atom) = -0.446
- E_form (meV/atom) = -230
- D(E_F) (states/eV/f.u.) = 1.5

5.
# TlAsSe2

TlAsSe2 after structural relaxation (PBE, Alexandria via LeMat-Bulk).

Cell lengths 3.8853, 3.8853, 8.0440 Å; angles 90.00, 90.00, 90.00 degrees
Fractional positions:
Se 0.0000 0.0000 0.8813
Se 0.5000 0.5000 0.2432
Tl 0.0000 0.0000 0.4258
As 0.5000 0.5000 0.9497

- final energy (Ry per atom) = -0.270
- D(E_F) (states/eV/f.u.) = 0.0
- formation energy (no corrections) (eV per atom) = -0.18

6.
# TlTePbN2

TlTePbN2 after structural relaxation (PBE, Alexandria via LeMat-Bulk).

Cell lengths 4.6601, 4.6601, 6.2218 Å; angles 90.00, 90.00, 90.00 degrees
Fractional positions:
N 0.0000 0.5000 0.0000
N 0.5000 0.0000 0.0000
Tl 0.5000 0.5000 0.5000
Pb 0.0000 0.0000 0.0000
Te 0.0000 0.0000 0.5000

- final energy (Ry per atom) = -0.277
- D(E_F) (states/eV/f.u.) = 3.1
- formation energy (no corrections) (eV per atom) = 1.41

7.
# ScIn2Rh

ScIn2Rh after structural relaxation (PBE, Alexandria via LeMat-Bulk).

Cell lengths 9.3875, 9.3875, 9.3875 Å; angles 20.16, 20.16, 20.16 degrees
Fractional positions:
Sc 0.7632 0.7632 0.7632
Rh 0.4950 0.4950 0.4950
In 0.2391 0.2391 0.2391
In 0.0027 0.0027 0.0027

- final energy (Ry per atom) = -0.372
- E_form (meV/atom) = -277
- D(E_F) (states/eV/f.u.) = 4.1

8.
# Li12I5N2

Li12I5N2 after structural relaxation (PBE, Alexandria via LeMat-Bulk).

Cell lengths 8.7785, 10.5658, 10.5658 Å; angles 41.95, 47.34, 47.34 degrees
Fractional positions:
Li 0.1598 0.9252 0.9252
Li 0.1989 0.8171 0.2213
Li 0.1481 0.4840 0.4840
Li 0.1989 0.2213 0.8171
Li 0.8011 0.7787 0.1829
Li 0.8402 0.0748 0.0748
Li 0.7874 0.8435 0.4471
Li 0.7874 0.4471 0.8435
Li 0.2126 0.5529 0.1565
Li 0.2126 0.1565 0.5529
Li 0.8519 0.5160 0.5160
Li 0.8011 0.1829 0.7787
N 0.0000 0.2493 0.7507
N 0.0000 0.7507 0.2493
I 0.0556 0.6484 0.6484
I 0.5887 0.2767 0.2767
I 0.5000 0.0000 0.0000
I 0.9444 0.3516 0.3516
I 0.4113 0.7233 0.7233

- final energy (Ry per atom) = -0.234
- D(E_F) (states/eV/f.u.) = 1.8
- formation energy (no corrections) (eV per atom) = -0.69

9.
# ThMg2SnGe

ThMg2SnGe after structural relaxation (PBE, Alexandria via LeMat-Bulk).

Cell lengths 4.1531, 7.8574, 8.3641 Å; angles 90.00, 90.00, 105.32 degrees
Fractional positions:
Mg 0.8172 0.6345 0.4288
Mg 0.1828 0.3655 0.5712
Mg 0.1828 0.3655 0.9288
Mg 0.8172 0.6345 0.0712
Ge 0.7595 0.5190 0.7500
Ge 0.2405 0.4810 0.2500
Sn 0.0000 0.0000 0.5000
Sn 0.0000 0.0000 0.0000
Th 0.5829 0.1659 0.2500
Th 0.4171 0.8341 0.7500

- final energy (Ry per atom) = -0.302
- E_form (meV/atom) = -260
- D(E_F) (states/eV/f.u.) = 1.6

10.
# Zn2AgPd5

Zn2AgPd5 after structural relaxation (PBE, Alexandria via LeMat-Bulk).

Cell lengths 3.9851, 5.5378, 11.0826 Å; angles 90.00, 90.00, 90.00 degrees
Fractional positions:
Zn 0.5000 0.7325 0.6296
Zn 0.5000 0.7675 0.1296
Zn 0.5000 0.2675 0.3704
Zn 0.5000 0.2325 0.8704
Pd 0.0000 0.0162 0.2508
Pd 0.5000 0.2415 0.6247
Pd 0.5000 0.2585 0.1247
Pd 0.0000 0.9838 0.7492
Pd 0.5000 0.7585 0.3753
Pd 0.0000 0.5162 0.2492
Pd 0.0000 0.0000 0.0000
Pd 0.0000 0.4838 0.7508
Pd 0.0000 0.5000 0.5000
Pd 0.5000 0.7415 0.8753
Ag 0.0000 0.5000 0.0000
Ag 0.0000 0.0000 0.5000

- final energy (Ry per atom) = -0.309
- E_form (meV/atom) = -280
- D(E_F) (states/eV/f.u.) = 8.0

11.
# Pm2GdTh

Pm2GdTh after structural relaxation (PBE, Alexandria via LeMat-Bulk).

Cell lengths 5.0983, 5.1054, 5.1054 Å; angles 90.00, 90.00, 90.00 degrees
Fractional positions:
Th 0.5000 0.5000 0.5000
Pm 0.0000 0.0000 0.5000
Pm 0.0000 0.5000 0.0000
Gd 0.5000 0.0000 0.0000

- final energy (Ry per atom) = -0.566
- E_form (meV/atom) = 51
- D(E_F) (states/eV/f.u.) = 5.2

12.
# AcZnNiN

AcZnNiN after structural relaxation (PBE, Alexandria via LeMat-Bulk).

Cell lengths 3.9963, 3.9963, 8.8150 Å; angles 90.00, 90.00, 90.00 degrees
Fractional positions:
Ni 0.0000 0.5000 0.3358
Ni 0.5000 0.0000 0.6642
N 0.0000 0.5000 0.1291
N 0.5000 0.0000 0.8709
Ac 0.5000 0.0000 0.1560
Ac 0.0000 0.5000 0.8440
Zn 0.0000 0.0000 0.5000
Zn 0.5000 0.5000 0.5000

- final energy (Ry per atom) = -0.406
- D(E_F) (states/eV/f.u.) = 1.5
- formation energy (no corrections) (eV per atom) = -0.65

13.
# CdAg2Au

CdAg2Au after structural relaxation (PBE, Alexandria via LeMat-Bulk).

Cell lengths 5.1198, 5.1198, 3.0015 Å; angles 90.00, 90.00, 109.28 degrees
Fractional positions:
Au 0.5000 0.0000 0.5000
Ag 0.5000 0.5000 0.0000
Ag 0.0000 0.0000 0.0000
Cd 0.0000 0.5000 0.5000

- final energy (Ry per atom) = -0.186
- E_form (meV/atom) = -57
- D(E_F) (states/eV/f.u.) = 1.3

14.
# Pm4AsPbS2

Pm4AsPbS2 after structural relaxation (PBE, Alexandria via LeMat-Bulk).

Cell lengths 4.2100, 7.2981, 7.3651 Å; angles 70.51, 90.00, 90.00 degrees
Fractional positions:
Pb 0.5000 0.5000 0.0000
Pm 0.0000 0.2333 0.2661
Pm 0.5000 0.2426 0.7434
Pm 0.0000 0.7667 0.7339
Pm 0.5000 0.7574 0.2566
S 0.0000 0.0000 0.0000
S 0.5000 0.0000 0.5000
As 0.0000 0.5000 0.5000

- final energy (Ry per atom) = -0.437
- D(E_F) (states/eV/f.u.) = 2.7
- formation energy (no corrections) (eV per atom) = -1.49

15.
# SiSb2O

SiSb2O after structural relaxation (PBE, Alexandria via LeMat-Bulk).

Cell lengths 5.3210, 5.3210, 7.6836 Å; angles 69.74, 69.74, 90.00 degrees
Fractional positions:
Sb 0.8750 0.7943 0.7500
Sb 0.3750 0.4557 0.7500
Sb 0.2057 0.6250 0.2500
Sb 0.5443 0.1250 0.2500
O 0.5000 0.5000 0.0000
O 0.2500 0.7500 0.5000
Si 0.0000 0.0000 0.0000
Si 0.7500 0.2500 0.5000

- final energy (Ry per atom) = -0.343
- D(E_F) (states/eV/f.u.) = 0.4
- formation energy (no corrections) (eV per atom) = -0.01

16.
# Tm4Sb2Ir

Tm4Sb2Ir after structural relaxation (PBE, Alexandria via LeMat-Bulk).

Cell lengths 4.3652, 8.5768, 7.8700 Å; angles 136.86, 106.10, 90.00 degrees
Fractional positions:
Sb 0.6566 0.6527 0.3131
Sb 0.3434 0.3473 0.6869
Ir 0.0000 0.0000 0.0000
Tm 0.3365 0.7279 0.6729
Tm 0.9335 0.2171 0.8670
Tm 0.0665 0.7829 0.1330
Tm 0.6636 0.2721 0.3271

- final energy (Ry per atom) = -0.428
- D(E_F) (states/eV/f.u.) = 3.5
- formation energy (no corrections) (eV per atom) = -0.82

17.
# NpNi4As

NpNi4As after structural relaxation (PBE, Alexandria via LeMat-Bulk).

Cell lengths 4.9060, 4.9060, 4.9060 Å; angles 60.00, 60.00, 60.00 degrees
Fractional positions:
Ni 0.6246 0.6246 0.6246
Ni 0.6246 0.1261 0.6246
Ni 0.6246 0.6246 0.1261
Ni 0.1261 0.6246 0.6246
Np 0.2500 0.2500 0.2500
As 0.0000 0.0000 0.0000

- final energy (Ry per atom) = -0.510
- E_form (meV/atom) = -150
- D(E_F) (states/eV/f.u.) = 10.5

18.
# La2TeRu

La2TeRu after structural relaxation (PBE, Alexandria via LeMat-Bulk).

Cell lengths 5.1822, 5.1822, 5.1822 Å; angles 60.00, 60.00, 60.00 degrees
Fractional positions:
La 0.2500 0.2500 0.2500
La 0.0000 0.0000 0.0000
Ru 0.5000 0.5000 0.5000
Te 0.7500 0.7500 0.7500

- final energy (Ry per atom) = -0.424
- D(E_F) (states/eV/f.u.) = 3.5
- formation energy (no corrections) (eV per atom) = -0.20

19.
# V4CrGa3

V4CrGa3 after structural relaxation (PBE, Alexandria via LeMat-Bulk).

Cell lengths 5.2065, 5.1763, 8.1954 Å; angles 90.00, 90.00, 90.00 degrees
Fractional positions:
Ga 0.0643 0.7472 0.7439
Ga 0.0643 0.7472 0.2561
Ga 0.5643 0.2528 0.7561
Ga 0.8607 0.0317 0.5000
Ga 0.3607 0.9683 0.0000
Ga 0.5643 0.2528 0.2439
V 0.5684 0.7444 0.2607
V 0.2777 0.4760 0.5000
V 0.0684 0.2556 0.7607
V 0.0684 0.2556 0.2393
V 0.5684 0.7444 0.7393
V 0.3649 0.9895 0.5000
V 0.8649 0.0105 0.0000
V 0.7777 0.5240 0.0000
Cr 0.2465 0.4726 0.0000
Cr 0.7465 0.5274 0.5000

- final energy (Ry per atom) = -0.513
- E_form (meV/atom) = -80
- D(E_F) (states/eV/f.u.) = 6.0

Here are the calculated total moment numbers, same order: 0.0; 0.0; 0.7; 0.0; 0.0; 3.1; 0.0; 1.0; 0.0; 0.0; 7.2; 0.0; 0.0; 0.0; 0.0; 0.0; 1.8; 0.0; 0.0 (μB/cell).